DFT (PBE-GGA) results for an optimized crystal structure of K3Pm5F12.

Results
E_form (uncorrected) ... -3.06 eV/atom

Cell lengths 14.9687, 14.9687, 14.9687 Å; angles 90.00, 90.00, 90.00 degrees
Closest atoms and distances in Å follow each position.
Space group Ia-3d (No. 230)
Symmetry-distinct sites (fractional):
1 K 0.0000 0.2500 0.1250 x24  4 F 2.54
2 Pm 0.0000 0.0000 0.0000 x16  6 F 2.37
3 Pm 0.0000 0.2500 0.3750 x24  4 F 2.33
4 F 0.0091 0.0392 0.6533 x96  2 Pm 2.33-2.37, 1 K 2.54



DFT (PBE-GGA) results for an optimized crystal structure of HoZn3Ag3.

Results
Energy relative to the elements ... 0.797 eV/atom

Cell lengths 12.1859, 12.1859, 12.1859 Å; angles 90.00, 90.00, 90.00 degrees
Closest atoms and distances in Å follow each position.
Space group Fm-3m (No. 225)
Symmetry-distinct sites (fractional):
1 Ho 0.2500 0.2500 0.2500 x8  12 Ag 4.45, 12 Zn 4.49
2 Zn 0.0000 0.0000 0.1472 x24  1 Ag 2.37, 4 Zn 2.54
3 Ag 0.0000 0.0000 0.3414 x24  1 Zn 2.37



DFT (PBE-GGA) results for an optimized crystal structure of ZrZnRe2.

Results
Energy relative to the elements ... 0.155 eV/atom

Cell lengths 3.2217, 4.4756, 8.9992 Å; angles 90.00, 90.00, 90.00 degrees
Closest atoms and distances in Å follow each position.
Space group Cmmm (No. 65)
Symmetry-distinct sites (fractional):
1 Zr 0.0000 0.0000 0.0000 x2  4 Zr 2.76, 4 Re 2.86
2 Zn 0.0000 0.0000 0.5000 x2  4 Re 2.68, 4 Zn 2.76
3 Re 0.0000 0.5000 0.2621 x4  2 Zn 2.68, 4 Re 2.76, 2 Zr 2.86



DFT (PBE-GGA) results for an optimized crystal structure of YRe2Te.

Results
E_form (uncorrected) ... 0.99 eV/atom

Cell lengths 7.8973, 7.8973, 5.5992 Å; angles 90.00, 90.00, 90.00 degrees
Closest atoms and distances in Å follow each position.
Space group I-42d (No. 122)
Symmetry-distinct sites (fractional):
1 Y 0.0000 0.0000 0.0000 x4  2 Te 2.80
2 Re 0.1960 0.7500 0.6250 x8  2 Te 2.60
3 Te 0.0000 0.0000 0.5000 x4  4 Re 2.60, 2 Y 2.80